(1)
Computed, not measured: a geometry-optimized NdCo2PH structure at the PBE level of DFT.

Lattice parameters (Å, degrees): 3.6588 5.5100 6.6559 90.00 90.00 109.39
Closest atoms and distances in Å follow each position.
Atoms (fractional coordinates):
1 P 0.2755 0.5511 0.2500  6 Co 2.29-2.34
2 H 0.0000 0.0000 0.0000  2 Co 1.83
3 P 0.7245 0.4489 0.7500  6 Co 2.29-2.34
4 Co 0.1718 0.3437 0.5612  1 H 1.83
5 Co 0.1718 0.3437 0.9388  1 H 1.83
6 Nd 0.4447 0.8894 0.7500  4 H 2.54
7 Nd 0.5553 0.1106 0.2500  4 H 2.54
8 H 0.0000 0.0000 0.5000  2 Co 1.83
9 Co 0.8282 0.6563 0.0612  1 H 1.83
10 Co 0.8282 0.6563 0.4388  1 H 1.83


(2)
Computed, not measured: a geometry-optimized Nd2CoH6Pd structure at the PBE level of DFT.

Lattice parameters (Å, degrees): 5.2358 5.2357 5.2081 120.02 120.02 90.20
Closest atoms and distances in Å follow each position.
Atoms (fractional coordinates):
1 H 0.2276 0.2281 0.4559  1 Co 1.68
2 H 0.2264 0.2269 0.9995  1 Co 1.67
3 Nd 0.2498 0.7505 0.4998  12 H 2.61-2.63
4 H 0.7737 0.2266 0.9998  1 Co 1.68
5 Nd 0.7500 0.2503 0.4998  12 H 2.61-2.63
6 Co 0.9999 0.0004 0.9998  6 H 1.67-1.68
7 Pd 0.4999 0.5004 0.9998  6 H 2.00-2.03
8 H 0.7734 0.7739 0.0001  1 Co 1.67
9 H 0.7722 0.7727 0.5437  1 Co 1.68
10 H 0.2261 0.7743 0.9998  1 Co 1.68


Values for raw total energy, eV/f.u., ordered as above
-31.14, -46.78
Values for theoretical density, g cm⁻³, ordered as above
7.72, 7.58